Record 1
Material: NiRu3Se
Method: DFT, meta-GGA SCAN
State: single point on PBEsol structure

E_form (uncorrected)   1.5366 eV/atom
Volume   16.8 Å³/atom

Cell: 4.3784 4.3784 4.3784 Å, 90.00 90.00 90.00°
Space group Pm-3m (No. 221)
Inequivalent atoms, fractional coordinates:
1 Ni 0.0000 0.0000 0.0000 x1
2 Ru 0.0000 0.0000 0.5000 x3
3 Se 0.5000 0.5000 0.5000 x1

Record 2
Material: SiNiRu2
Method: DFT, meta-GGA SCAN
State: single point on PBEsol structure

E_form (uncorrected)   0.1339 eV/atom
Volume   12.6 Å³/atom

Cell: 2.8172 4.4408 8.0628 Å, 90.00 90.00 90.00°
Space group Cmm2 (No. 35)
Inequivalent atoms, fractional coordinates:
1 Si 0.0000 0.0000 0.0000 x2
2 Ni 0.0000 0.5000 0.7841 x2
3 Ru 0.0000 0.0000 0.5170 x2
4 Ru 0.0000 0.5000 0.2364 x2

Record 3
Material: Si2NiRu
Method: DFT, meta-GGA SCAN
State: single point on PBEsol structure

E_form (uncorrected)   -0.3827 eV/atom
Volume   11.8 Å³/atom

Cell: 3.4612 3.4612 7.9094 Å, 90.00 90.00 90.00°
Space group I-4m2 (No. 119)
Inequivalent atoms, fractional coordinates:
1 Si 0.0000 0.0000 0.0000 x2
2 Si 0.0000 0.5000 0.2500 x2
3 Ni 0.0000 0.0000 0.5000 x2
4 Ru 0.0000 0.5000 0.7500 x2

Record 4
Material: Si2NiRu
Method: DFT, meta-GGA SCAN
State: single point on PBEsol structure

E_form (uncorrected)   -0.5805 eV/atom
Volume   11.9 Å³/atom

Cell: 8.3470 2.9197 4.0670 Å, 90.00 105.49 90.00°
Space group Cm (No. 8)
Inequivalent atoms, fractional coordinates:
1 Si 0.0000 0.0000 0.0000 x2
2 Si 0.2445 0.0000 0.6376 x2
3 Ni 0.0078 0.5000 0.5226 x2
4 Ru 0.2370 0.5000 0.1292 x2

Record 5
Material: SiNiRu2
Method: DFT, meta-GGA SCAN
State: single point on PBEsol structure

E_form (uncorrected)   -0.1517 eV/atom
Volume   12.3 Å³/atom

Cell: 2.7033 3.5766 5.0942 Å, 90.00 90.00 90.00°
Space group Pmm2 (No. 25)
Inequivalent atoms, fractional coordinates:
1 Si 0.0000 0.0000 0.0000 x1
2 Ni 0.5000 0.5000 0.2243 x1
3 Ru 0.0000 0.0000 0.4783 x1
4 Ru 0.5000 0.5000 0.7306 x1

Record 6
Material: SiNiRu2
Method: DFT, meta-GGA SCAN
State: single point on PBEsol structure

E_form (uncorrected)   0.0123 eV/atom
Volume   12.5 Å³/atom

Cell: 2.7357 4.1661 4.3865 Å, 90.00 90.00 90.00°
Space group Pmmm (No. 47)
Inequivalent atoms, fractional coordinates:
1 Si 0.0000 0.0000 0.0000 x1
2 Ni 0.5000 0.0000 0.5000 x1
3 Ru 0.0000 0.5000 0.5000 x1
4 Ru 0.5000 0.5000 0.0000 x1

Record 7
Material: Si3NiRu
Method: DFT, meta-GGA SCAN
State: single point on PBEsol structure

E_form (uncorrected)   0.8075 eV/atom
Volume   18.3 Å³/atom

Cell: 4.5045 4.5045 4.5045 Å, 90.00 90.00 90.00°
Space group Pm-3m (No. 221)
Inequivalent atoms, fractional coordinates:
1 Si 0.0000 0.0000 0.5000 x3
2 Ni 0.5000 0.5000 0.5000 x1
3 Ru 0.0000 0.0000 0.0000 x1

Record 8
Material: Si2NiRu
Method: DFT, meta-GGA SCAN
State: single point on PBEsol structure

E_form (uncorrected)   -0.5161 eV/atom
Volume   11.7 Å³/atom

Cell: 2.9092 2.9092 5.5112 Å, 90.00 90.00 90.00°
Space group P4/mmm (No. 123)
Inequivalent atoms, fractional coordinates:
1 Si 0.0000 0.0000 0.2349 x2
2 Ni 0.5000 0.5000 0.0000 x1
3 Ru 0.5000 0.5000 0.5000 x1

Record 9
Material: SiNi6Ru
Method: DFT, meta-GGA SCAN
State: single point on PBEsol structure

E_form (uncorrected)   -0.1319 eV/atom
Volume   10.8 Å³/atom

Cell: 7.0040 9.9188 9.9169 Å, 90.00 90.00 90.00°
Space group Cmmm (No. 65)
Inequivalent atoms, fractional coordinates:
1 Si 0.0000 0.0000 0.2483 x4
2 Si 0.0000 0.2538 0.0000 x4
3 Ni 0.0000 0.0000 0.0000 x2
4 Ni 0.0000 0.0000 0.5000 x2
5 Ni 0.0000 0.2493 0.2458 x8
6 Ni 0.0000 0.5000 0.0000 x2
7 Ni 0.0000 0.5000 0.5000 x2
8 Ni 0.2446 0.1243 0.3710 x16
9 Ni 0.2469 0.1259 0.1221 x16
10 Ru 0.0000 0.2521 0.5000 x4
11 Ru 0.0000 0.5000 0.2508 x4

Record 10
Material: SrNi2Ru
Method: DFT, meta-GGA SCAN
State: single point on PBEsol structure

Energy of formation   0.4770 eV/atom
Volume   16.1 Å³/atom

Cell: 4.1128 2.7650 11.2915 Å, 90.00 90.00 90.00°
Space group Amm2 (No. 38)
Inequivalent atoms, fractional coordinates:
1 Sr 0.0000 0.0000 0.0000 x2
2 Ni 0.0000 0.0000 0.7512 x2
3 Ni 0.5000 0.0000 0.6338 x2
4 Ru 0.5000 0.0000 0.3087 x2

Record 11
Material: TaNiRu2
Method: DFT, meta-GGA SCAN
State: single point on PBEsol structure

Energy of formation   -0.0750 eV/atom
Volume   13.8 Å³/atom

Cell: 8.8519 2.8352 4.4862 Å, 90.00 102.12 90.00°
Space group Cm (No. 8)
Inequivalent atoms, fractional coordinates:
1 Ta 0.0000 0.0000 0.0000 x2
2 Ni 0.2478 0.5000 0.2295 x2
3 Ru 0.2403 0.0000 0.7091 x2
4 Ru 0.4929 0.0000 0.4929 x2

Record 12
Material: TaNiRu2
Method: DFT, meta-GGA SCAN
State: single point on PBEsol structure

Energy of formation   -0.2201 eV/atom
Volume   13.6 Å³/atom

Cell: 3.7687 3.7687 7.6526 Å, 90.00 90.00 90.00°
Space group I-4m2 (No. 119)
Inequivalent atoms, fractional coordinates:
1 Ta 0.0000 0.0000 0.0000 x2
2 Ni 0.0000 0.5000 0.7500 x2
3 Ru 0.0000 0.0000 0.5000 x2
4 Ru 0.0000 0.5000 0.2500 x2

Record 13
Material: TaNiRu2
Method: DFT, meta-GGA SCAN
State: single point on PBEsol structure

Energy of formation   -0.0551 eV/atom
Volume   13.8 Å³/atom

Cell: 3.1646 3.1646 5.5136 Å, 90.00 90.00 90.00°
Space group P4mm (No. 99)
Inequivalent atoms, fractional coordinates:
1 Ta 0.0000 0.0000 0.0000 x1
2 Ni 0.5000 0.5000 0.2443 x1
3 Ru 0.0000 0.0000 0.4512 x1
4 Ru 0.5000 0.5000 0.7328 x1

Record 14
Material: Ta2NiRu
Method: DFT, meta-GGA SCAN
State: single point on PBEsol structure

Energy of formation   0.1544 eV/atom
Volume   15.5 Å³/atom

Cell: 2.9584 2.9584 24.5053 Å, 90.00 90.00 120.00°
Space group R3m (No. 160, hexagonal axes)
Inequivalent atoms, fractional coordinates:
1 Ta 0.0000 0.0000 0.0000 x3
2 Ta 0.0000 0.0000 0.2388 x3
3 Ni 0.0000 0.0000 0.7427 x3
4 Ru 0.0000 0.0000 0.4924 x3

Record 15
Material: Ta2NiRu
Method: DFT, meta-GGA SCAN
State: single point on PBEsol structure

Energy of formation   -0.2341 eV/atom
Volume   14.8 Å³/atom

Cell: 3.0409 3.0409 6.3911 Å, 90.00 90.00 90.00°
Space group P4/mmm (No. 123)
Inequivalent atoms, fractional coordinates:
1 Ta 0.0000 0.0000 0.2406 x2
2 Ni 0.5000 0.5000 0.0000 x1
3 Ru 0.5000 0.5000 0.5000 x1

Record 16
Material: TaNiRu2
Method: DFT, meta-GGA SCAN
State: single point on PBEsol structure

Energy of formation   -0.3072 eV/atom
Volume   13.5 Å³/atom

Cell: 3.8127 3.8127 3.7200 Å, 90.00 90.00 90.00°
Space group P4/mmm (No. 123)
Inequivalent atoms, fractional coordinates:
1 Ta 0.0000 0.0000 0.0000 x1
2 Ni 0.5000 0.5000 0.0000 x1
3 Ru 0.0000 0.5000 0.5000 x2

Record 17
Material: TaNiRu2
Method: DFT, meta-GGA SCAN
State: single point on PBEsol structure

Energy of formation   -0.1224 eV/atom
Volume   13.8 Å³/atom

Cell: 6.0383 6.0383 6.0383 Å, 90.00 90.00 90.00°
Space group Fm-3m (No. 225)
Inequivalent atoms, fractional coordinates:
1 Ta 0.0000 0.0000 0.0000 x4
2 Ni 0.0000 0.0000 0.5000 x4
3 Ru 0.2500 0.2500 0.2500 x8

Record 18
Material: TaNiRu2
Method: DFT, meta-GGA SCAN
State: single point on PBEsol structure

Energy of formation   0.1810 eV/atom
Volume   13.9 Å³/atom

Cell: 2.7331 2.7331 25.7793 Å, 90.00 90.00 120.00°
Space group R-3m (No. 166, hexagonal axes)
Inequivalent atoms, fractional coordinates:
1 Ta 0.0000 0.0000 0.0000 x3
2 Ni 0.0000 0.0000 0.5000 x3
3 Ru 0.0000 0.0000 0.2449 x6

Record 19
Material: Ta2NiRu
Method: DFT, meta-GGA SCAN
State: single point on PBEsol structure

Energy of formation   -0.2843 eV/atom
Volume   14.7 Å³/atom

Cell: 4.0212 4.0212 7.2710 Å, 90.00 90.00 90.00°
Space group I4/mmm (No. 139)
Inequivalent atoms, fractional coordinates:
1 Ta 0.0000 0.5000 0.2500 x4
2 Ni 0.0000 0.0000 0.0000 x2
3 Ru 0.0000 0.0000 0.5000 x2

Record 20
Material: Ta2Ni2Ru
Method: DFT, meta-GGA SCAN
State: single point on PBEsol structure

Energy of formation   -0.3128 eV/atom
Volume   13.8 Å³/atom

Cell: 6.6700 6.6700 3.1062 Å, 90.00 90.00 90.00°
Space group P4/mbm (No. 127)
Inequivalent atoms, fractional coordinates:
1 Ta 0.1797 0.3203 0.0000 x4
2 Ni 0.1228 0.6228 0.5000 x4
3 Ru 0.0000 0.0000 0.5000 x2

Record 21
Material: TcNi2Ru
Method: DFT, meta-GGA SCAN
State: single point on PBEsol structure

Energy of formation   0.0314 eV/atom
Volume   12.0 Å³/atom
Excess energy over the best structure of this formula in the dataset   0.000 eV per atom

Cell: 3.6256 3.6256 7.3052 Å, 90.00 90.00 90.00°
Space group I-4m2 (No. 119)
Inequivalent atoms, fractional coordinates:
1 Tc 0.0000 0.0000 0.0000 x2
2 Ni 0.0000 0.0000 0.5000 x2
3 Ni 0.0000 0.5000 0.2500 x2
4 Ru 0.0000 0.5000 0.7500 x2

Record 22
Material: TcNi2Ru
Method: DFT, meta-GGA SCAN
State: single point on PBEsol structure

Energy of formation   0.0745 eV/atom
Volume   12.1 Å³/atom
Excess energy over the best structure of this formula in the dataset   0.043 eV per atom

Cell: 2.6269 3.6050 5.1024 Å, 90.00 90.00 90.00°
Space group Pmm2 (No. 25)
Inequivalent atoms, fractional coordinates:
1 Tc 0.0000 0.0000 0.0000 x1
2 Ni 0.0000 0.0000 0.4832 x1
3 Ni 0.5000 0.5000 0.2576 x1
4 Ru 0.5000 0.5000 0.7455 x1

Record 23
Material: TcNi2Ru
Method: DFT, meta-GGA SCAN
State: single point on PBEsol structure

Energy of formation   0.1062 eV/atom
Volume   12.0 Å³/atom
Excess energy over the best structure of this formula in the dataset   0.075 eV per atom

Cell: 3.9727 2.5421 9.4856 Å, 90.00 90.00 90.00°
Space group Amm2 (No. 38)
Inequivalent atoms, fractional coordinates:
1 Tc 0.0000 0.0000 0.0000 x2
2 Ni 0.0000 0.0000 0.2599 x2
3 Ni 0.5000 0.0000 0.3891 x2
4 Ru 0.5000 0.0000 0.6494 x2

Record 24
Material: TcNi2Ru
Method: DFT, meta-GGA SCAN
State: single point on PBEsol structure

Energy of formation   0.0842 eV/atom
Volume   12.0 Å³/atom
Excess energy over the best structure of this formula in the dataset   0.053 eV per atom

Cell: 8.5569 2.5840 4.4279 Å, 90.00 100.13 90.00°
Space group Cm (No. 8)
Inequivalent atoms, fractional coordinates:
1 Tc 0.0000 0.0000 0.0000 x2
2 Ni 0.2486 0.5000 0.2621 x2
3 Ni 0.4963 0.0000 0.4892 x2
4 Ru 0.2436 0.0000 0.7534 x2

Record 25
Material: Ni3TeRu
Method: DFT, meta-GGA SCAN
State: single point on PBEsol structure

E_form (uncorrected)   1.2550 eV/atom
Volume   17.3 Å³/atom

Cell: 4.4252 4.4252 4.4252 Å, 90.00 90.00 90.00°
Space group Pm-3m (No. 221)
Inequivalent atoms, fractional coordinates:
1 Ni 0.0000 0.0000 0.5000 x3
2 Te 0.5000 0.5000 0.5000 x1
3 Ru 0.0000 0.0000 0.0000 x1

Record 26
Material: TlNi2Ru
Method: DFT, meta-GGA SCAN
State: single point on PBEsol structure

Energy of formation   0.4323 eV/atom
Volume   13.8 Å³/atom
Excess energy over the best structure of this formula in the dataset   0.000 eV per atom

Cell: 3.8553 3.8553 3.7196 Å, 90.00 90.00 90.00°
Space group P4/mmm (No. 123)
Inequivalent atoms, fractional coordinates:
1 Tl 0.0000 0.0000 0.0000 x1
2 Ni 0.0000 0.5000 0.5000 x2
3 Ru 0.5000 0.5000 0.0000 x1

Record 27
Material: Tl3NiRu
Method: DFT, meta-GGA SCAN
State: single point on PBEsol structure

Energy of formation   0.9344 eV/atom
Volume   27.1 Å³/atom

Cell: 5.1374 5.1374 5.1374 Å, 90.00 90.00 90.00°
Space group Pm-3m (No. 221)
Inequivalent atoms, fractional coordinates:
1 Tl 0.0000 0.0000 0.5000 x3
2 Ni 0.5000 0.5000 0.5000 x1
3 Ru 0.0000 0.0000 0.0000 x1

Record 28
Material: TlNiRu2
Method: DFT, meta-GGA SCAN
State: single point on PBEsol structure

Energy of formation   0.4902 eV/atom
Volume   14.7 Å³/atom
Excess energy over the best structure of this formula in the dataset   0.000 eV per atom

Cell: 8.7645 2.8483 4.7886 Å, 90.00 99.91 90.00°
Space group Cm (No. 8)
Inequivalent atoms, fractional coordinates:
1 Tl 0.0000 0.0000 0.0000 x2
2 Ni 0.2466 0.0000 0.7579 x2
3 Ru 0.0024 0.5000 0.5031 x2
4 Ru 0.2595 0.5000 0.3244 x2